(1)
First-principles (PBE) data for crystalline TbPrEuHo at its relaxed geometry, as listed in Alexandria via LeMat-Bulk.

Calculated values
ΔH_f (0 K) (eV/atom): 0.150

Cell and atoms, written as CIF:
```
data_TbPrEuHo
_cell_length_a 8.210
_cell_length_b 8.210
_cell_length_c 8.210
_cell_angle_alpha 90.00
_cell_angle_beta 90.00
_cell_angle_gamma 90.00
_symmetry_space_group_name_H-M 'F -4 3 m'
_symmetry_Int_Tables_number 216
_symmetry_space_group_name_Hall 'F -4 2 3'
loop_
_atom_site_label
_atom_site_type_symbol
_atom_site_fract_x
_atom_site_fract_y
_atom_site_fract_z
_atom_site_occupancy
Tb1 Tb 0.000 0.000 0.000 1
Pr1 Pr 0.250 0.250 0.250 1
Eu1 Eu 0.250 0.250 0.750 1
Ho1 Ho 0.000 0.000 0.500 1
```

***

(2)
First-principles (PBE) data for crystalline UH6 at its relaxed geometry, as listed in Alexandria via LeMat-Bulk.

Calculated values
Final energy (eV per atom): -4.28

Cell and atoms, written as CIF:
```
data_UH6
_cell_length_a 4.243
_cell_length_b 4.243
_cell_length_c 4.243
_cell_angle_alpha 90.00
_cell_angle_beta 90.00
_cell_angle_gamma 90.00
_symmetry_space_group_name_H-M 'I m -3 m'
_symmetry_Int_Tables_number 229
_symmetry_space_group_name_Hall '-I 4 2 3'
loop_
_atom_site_label
_atom_site_type_symbol
_atom_site_fract_x
_atom_site_fract_y
_atom_site_fract_z
_atom_site_occupancy
U1 U 0.000 0.000 0.000 1
H1 H 0.000 0.250 0.500 1
```

***

(3)
First-principles (PBE) data for crystalline TaFeRe2 at its relaxed geometry, as listed in Alexandria via LeMat-Bulk.

Calculated values
ΔH_f (0 K) (eV/atom): -0.025

Cell and atoms, written as CIF:
```
data_TaFeRe2
_cell_length_a 3.126
_cell_length_b 3.126
_cell_length_c 6.112
_cell_angle_alpha 90.00
_cell_angle_beta 90.00
_cell_angle_gamma 90.00
_symmetry_space_group_name_H-M 'P 4 m m'
_symmetry_Int_Tables_number 99
loop_
_symmetry_equiv_pos_as_xyz
'x,y,z'
'-y,x,z'
'-x,-y,z'
'y,-x,z'
'-x,y,z'
'y,x,z'
'x,-y,z'
'-y,-x,z'
loop_
_atom_site_label
_atom_site_type_symbol
_atom_site_fract_x
_atom_site_fract_y
_atom_site_fract_z
_atom_site_occupancy
Ta1 Ta 0.000 0.000 0.000 1
Fe1 Fe 0.500 0.500 0.234 1
Re1 Re 0.000 0.000 0.475 1
Re2 Re 0.500 0.500 0.723 1
```

***

(4)
First-principles (PBE) data for crystalline AcEr2In2 at its relaxed geometry, as listed in Alexandria via LeMat-Bulk.

Calculated values
ΔH_f (0 K) (eV/atom): -0.218

Cell and atoms, written as CIF:
```
data_AcEr2In2
_cell_length_a 5.176
_cell_length_b 5.176
_cell_length_c 24.791
_cell_angle_alpha 90.00
_cell_angle_beta 90.00
_cell_angle_gamma 90.00
_symmetry_space_group_name_H-M 'I 4/m m m'
_symmetry_Int_Tables_number 139
_symmetry_space_group_name_Hall '-I 4 2'
loop_
_atom_site_label
_atom_site_type_symbol
_atom_site_fract_x
_atom_site_fract_y
_atom_site_fract_z
_atom_site_occupancy
Ac1 Ac 0.000 0.000 0.125 1
Er1 Er 0.000 0.000 0.433 1
Er2 Er 0.000 0.500 0.250 1
In1 In 0.000 0.000 0.315 1
In2 In 0.000 0.500 0.000 1
```

***

(5)
First-principles (PBE) data for crystalline AcNdEuGd at its relaxed geometry, as listed in Alexandria via LeMat-Bulk.

Calculated values
ΔH_f (0 K) (eV/atom): 0.107

Cell and atoms, written as CIF:
```
data_AcNdEuGd
_cell_length_a 8.478
_cell_length_b 8.478
_cell_length_c 8.478
_cell_angle_alpha 90.00
_cell_angle_beta 90.00
_cell_angle_gamma 90.00
_symmetry_space_group_name_H-M 'F -4 3 m'
_symmetry_Int_Tables_number 216
_symmetry_space_group_name_Hall 'F -4 2 3'
loop_
_atom_site_label
_atom_site_type_symbol
_atom_site_fract_x
_atom_site_fract_y
_atom_site_fract_z
_atom_site_occupancy
Ac1 Ac 0.000 0.000 0.000 1
Nd1 Nd 0.000 0.000 0.500 1
Eu1 Eu 0.250 0.250 0.750 1
Gd1 Gd 0.250 0.250 0.250 1
```

***

(6)
First-principles (PBE) data for crystalline Pm4CoSb at its relaxed geometry, as listed in Alexandria via LeMat-Bulk.

Calculated values
Polymorph energy (0 for the lowest one) (meV per atom): 0
Formation energy without anion corrections (meV/atom): -421

Cell and atoms, written as CIF:
```
data_Pm4CoSb
_cell_length_a 6.237
_cell_length_b 6.832
_cell_length_c 8.192
_cell_angle_alpha 90.00
_cell_angle_beta 93.99
_cell_angle_gamma 90.00
_symmetry_space_group_name_H-M 'P 1 21/m 1'
_symmetry_Int_Tables_number 11
loop_
_symmetry_equiv_pos_as_xyz
'x,y,z'
'-x,-y,-z'
'-x,y+1/2,-z'
'x,-y+1/2,z'
loop_
_atom_site_label
_atom_site_type_symbol
_atom_site_fract_x
_atom_site_fract_y
_atom_site_fract_z
_atom_site_occupancy
Pm1 Pm 0.088 0.250 0.080 1
Pm2 Pm 0.158 0.750 0.379 1
Pm3 Pm 0.400 0.501 0.791 1
Co1 Co 0.315 0.750 0.064 1
Sb1 Sb 0.296 0.250 0.452 1
```

***

(7)
First-principles (PBE) data for crystalline ZnGa2Os at its relaxed geometry, as listed in Alexandria via LeMat-Bulk.

Calculated values
ΔH_f (0 K) (eV/atom): 0.121

Cell and atoms, written as CIF:
```
data_ZnGa2Os
_cell_length_a 2.9367
_cell_length_b 2.9367
_cell_length_c 26.8096
_cell_angle_alpha 90.00
_cell_angle_beta 90.00
_cell_angle_gamma 120.00
_symmetry_space_group_name_H-M 'R -3 m'
_symmetry_Int_Tables_number 166
_symmetry_space_group_name_Hall '-R 3 2"'
loop_
_atom_site_label
_atom_site_type_symbol
_atom_site_fract_x
_atom_site_fract_y
_atom_site_fract_z
_atom_site_occupancy
Zn1 Zn 0.0000 0.0000 0.0000 1
Ga1 Ga 0.0000 0.0000 0.0932 1
Os1 Os 0.0000 0.0000 0.5000 1
```

***

(8)
First-principles (PBE) data for crystalline LiCa3La at its relaxed geometry, as listed in Alexandria via LeMat-Bulk.

Calculated values
ΔH_f (0 K) (eV/atom): 0.832
Polymorph energy (0 for the lowest one) (meV per atom): 561

Cell and atoms, written as CIF:
```
data_LiCa3La
_cell_length_a 6.269
_cell_length_b 6.269
_cell_length_c 6.269
_cell_angle_alpha 90.00
_cell_angle_beta 90.00
_cell_angle_gamma 90.00
_symmetry_space_group_name_H-M 'P m -3 m'
_symmetry_Int_Tables_number 221
_symmetry_space_group_name_Hall '-P 4 2 3'
loop_
_atom_site_label
_atom_site_type_symbol
_atom_site_fract_x
_atom_site_fract_y
_atom_site_fract_z
_atom_site_occupancy
Li1 Li 0.000 0.000 0.000 1
Ca1 Ca 0.000 0.500 0.500 1
La1 La 0.500 0.500 0.500 1
```

***

(9)
First-principles (PBE) data for crystalline Mn2ZnInN at its relaxed geometry, as listed in Alexandria via LeMat-Bulk.

Calculated values
Formation energy without anion corrections (meV/atom): 1662

Cell and atoms, written as CIF:
```
data_Mn2ZnInN
_cell_length_a 4.709
_cell_length_b 4.709
_cell_length_c 4.864
_cell_angle_alpha 90.00
_cell_angle_beta 90.00
_cell_angle_gamma 90.00
_symmetry_space_group_name_H-M 'P 4/m m m'
_symmetry_Int_Tables_number 123
_symmetry_space_group_name_Hall '-P 4 2'
loop_
_atom_site_label
_atom_site_type_symbol
_atom_site_fract_x
_atom_site_fract_y
_atom_site_fract_z
_atom_site_occupancy
Mn1 Mn 0.000 0.500 0.000 1
Zn1 Zn 0.000 0.000 0.000 1
In1 In 0.000 0.000 0.500 1
N1 N 0.500 0.500 0.500 1
```

***

(10)
First-principles (PBE) data for crystalline Cs4TmBr6 at its relaxed geometry, as listed in Alexandria via LeMat-Bulk.

Calculated values
Formation energy without anion corrections (meV/atom): -1677

Cell and atoms, written as CIF:
```
data_Cs4TmBr6
_cell_length_a 10.298
_cell_length_b 10.298
_cell_length_c 10.729
_cell_angle_alpha 90.00
_cell_angle_beta 90.00
_cell_angle_gamma 90.00
_symmetry_space_group_name_H-M 'P 4/m n c'
_symmetry_Int_Tables_number 128
_symmetry_space_group_name_Hall '-P 4 2n'
loop_
_atom_site_label
_atom_site_type_symbol
_atom_site_fract_x
_atom_site_fract_y
_atom_site_fract_z
_atom_site_occupancy
Cs1 Cs 0.184 0.316 0.250 1
Tm1 Tm 0.000 0.000 0.000 1
Br1 Br 0.000 0.000 0.261 1
Br2 Br 0.071 0.736 0.000 1
```